[1]
Te2HW2: optimized geometry, GGA-PBE.

Values from the calculation:
**SG**: No. 139
**Density**: 10.16 g cm⁻³
**Distance to the lowest polymorph of the same formula**: 0.000 eV per atom
**E_tot**: -6.2573 eV/atom

Lattice parameters (Å, degrees): 5.1652 5.1652 5.1652 116.53 116.53 96.12
Closest atoms and distances in Å follow each position.
Element x y z (fractional)
Te1 0.2500 0.7500 0.5000  4 W 2.78
Te2 0.7500 0.2500 0.5000  4 W 2.78
H1 0.0000 0.0000 0.0000  2 W 2.29
W1 0.3322 0.3322 0.0000  1 H 2.29, 1 W 2.32
W2 0.6678 0.6678 0.0000  1 H 2.29, 1 W 2.32


[2]
TeH3W: optimized geometry, GGA-PBE.

Values from the calculation:
**SG**: No. 221
**Density**: 9.51 g cm⁻³
**Distance to the lowest polymorph of the same formula**: 1.084 eV per atom
**E_tot**: -3.4714 eV/atom

Lattice parameters (Å, degrees): 3.8012 3.8012 3.8012 90.00 90.00 90.00
Closest atoms and distances in Å follow each position.
Element x y z (fractional)
Te1 0.0000 0.0000 0.0000  6 H 1.90
H1 0.0000 0.0000 0.5000  2 Te 1.90
H2 0.0000 0.5000 0.0000  2 Te 1.90
H3 0.5000 0.0000 0.0000  2 Te 1.90
W1 0.5000 0.5000 0.5000  12 H 2.69


[3]
TeHW2: optimized geometry, GGA-PBE.

Values from the calculation:
**SG**: No. 225
**Density**: 13.47 g cm⁻³
**Distance to the lowest polymorph of the same formula**: 0.611 eV per atom
**E_tot**: -6.7335 eV/atom

Lattice parameters (Å, degrees): 4.4232 4.4232 4.4232 60.00 60.00 60.00
Closest atoms and distances in Å follow each position.
Element x y z (fractional)
Te1 0.0000 0.0000 0.0000  8 W 2.71
H1 0.5000 0.5000 0.5000  8 W 2.71
W1 0.2500 0.2500 0.2500  4 H 2.71, 4 Te 2.71
W2 0.7500 0.7500 0.7500  4 H 2.71, 4 Te 2.71


[4]
Te2HW: optimized geometry, GGA-PBE.

Values from the calculation:
**SG**: No. 122
**Density**: 8.11 g cm⁻³
**Distance to the lowest polymorph of the same formula**: 0.311 eV per atom
**E_tot**: -4.8735 eV/atom

Lattice parameters (Å, degrees): 6.7812 6.7812 6.7812 129.69 129.69 73.91
Closest atoms and distances in Å follow each position.
Element x y z (fractional)
Te1 0.0790 0.6250 0.9540  2 H 2.30
Te2 0.3750 0.3290 0.4540  2 H 2.30
Te3 0.6710 0.1250 0.0460  2 H 2.30
Te4 0.8750 0.9210 0.5460  2 H 2.30
H1 0.0000 0.0000 0.0000  4 Te 2.30
H2 0.7500 0.2500 0.5000  4 Te 2.30
W1 0.2500 0.7500 0.5000  4 Te 2.61
W2 0.5000 0.5000 0.0000  4 Te 2.61


[5]
TeH2W: optimized geometry, GGA-PBE.

Values from the calculation:
**SG**: No. 225
**Density**: 10.95 g cm⁻³
**Distance to the lowest polymorph of the same formula**: 0.843 eV per atom
**E_tot**: -4.3146 eV/atom

Lattice parameters (Å, degrees): 4.0664 4.0664 4.0664 60.00 60.00 60.00
Closest atoms and distances in Å follow each position.
Element x y z (fractional)
Te1 0.0000 0.0000 0.0000  8 H 2.49
H1 0.2500 0.2500 0.2500  4 W 2.49, 4 Te 2.49
H2 0.7500 0.7500 0.7500  4 W 2.49, 4 Te 2.49
W1 0.5000 0.5000 0.5000  8 H 2.49


[6]
Te2HW: optimized geometry, GGA-PBE.

Values from the calculation:
**SG**: No. 225
**Density**: 9.80 g cm⁻³
**Distance to the lowest polymorph of the same formula**: 0.318 eV per atom
**E_tot**: -4.8667 eV/atom

Lattice parameters (Å, degrees): 4.7245 4.7245 4.7245 60.00 60.00 60.00
Closest atoms and distances in Å follow each position.
Element x y z (fractional)
Te1 0.2500 0.2500 0.2500  4 H 2.89, 4 W 2.89
Te2 0.7500 0.7500 0.7500  4 H 2.89, 4 W 2.89
H1 0.0000 0.0000 0.0000  8 Te 2.89
W1 0.5000 0.5000 0.5000  8 Te 2.89


[7]
TeH2W: optimized geometry, GGA-PBE.

Values from the calculation:
**SG**: No. 122
**Density**: 10.84 g cm⁻³
**Distance to the lowest polymorph of the same formula**: 0.000 eV per atom
**E_tot**: -5.1576 eV/atom

Lattice parameters (Å, degrees): 4.9979 4.9979 4.9979 110.37 110.37 107.69
Closest atoms and distances in Å follow each position.
Element x y z (fractional)
Te1 0.0000 0.0000 0.0000  8 H 2.58-2.76
Te2 0.7500 0.2500 0.5000  8 H 2.58-2.76
H1 0.2282 0.1250 0.6032  2 W 1.81
H2 0.3750 0.7718 0.8968  2 W 1.81
H3 0.5218 0.6250 0.3968  2 W 1.81
H4 0.8750 0.4782 0.1032  2 W 1.81
W1 0.2500 0.7500 0.5000  4 H 1.81
W2 0.5000 0.5000 0.0000  4 H 1.81


[8]
Y4Te2H: optimized geometry, GGA-PBE.

Values from the calculation:
**SG**: No. 139
**Density**: 6.12 g cm⁻³
**E_tot**: -5.8858 eV/atom

Lattice parameters (Å, degrees): 9.1341 9.1341 9.1341 152.14 152.14 39.81
Closest atoms and distances in Å follow each position.
Element x y z (fractional)
Y1 0.0000 0.5000 0.5000  2 H 2.20
Y2 0.1826 0.1826 0.0000  5 Te 3.13-3.21, 1 H 3.14
Y3 0.5000 0.0000 0.5000  2 H 2.20
Y4 0.8174 0.8174 0.0000  5 Te 3.13-3.21, 1 H 3.14
Te1 0.3647 0.3647 0.0000  9 Y 3.13-3.21
Te2 0.6353 0.6353 0.0000  9 Y 3.13-3.21
H1 0.0000 0.0000 0.0000  4 Y 2.20


[9]
YTe2H: optimized geometry, GGA-PBE.

Values from the calculation:
**SG**: No. 9
**Density**: 4.74 g cm⁻³
**Distance to the lowest polymorph of the same formula**: 0.117 eV per atom
**E_tot**: -4.7473 eV/atom

Lattice parameters (Å, degrees): 6.1551 6.1551 7.6795 113.21 113.21 89.57
Closest atoms and distances in Å follow each position.
Element x y z (fractional)
Y1 0.1327 0.8673 0.5000  6 Te 2.98-3.30
Y2 0.8673 0.1327 0.0000  6 Te 2.98-3.30
Te1 0.1114 0.3609 0.4664  3 Y 2.98-3.15
Te2 0.3609 0.1114 0.9664  3 Y 2.98-3.15
Te3 0.6250 0.8723 0.4837  1 H 1.68
Te4 0.8723 0.6250 0.9837  1 H 1.68
H1 0.1392 0.6107 0.9709  1 Te 1.68
H2 0.6107 0.1392 0.4709  1 Te 1.68


[10]
YTeH3: optimized geometry, GGA-PBE.

Values from the calculation:
**SG**: No. 221
**Density**: 5.21 g cm⁻³
**Distance to the lowest polymorph of the same formula**: 0.000 eV per atom
**E_tot**: -3.9987 eV/atom

Lattice parameters (Å, degrees): 4.1204 4.1204 4.1204 90.00 90.00 90.00
Closest atoms and distances in Å follow each position.
Element x y z (fractional)
Y1 0.0000 0.0000 0.0000  6 H 2.06
Te1 0.5000 0.5000 0.5000  12 H 2.91
H1 0.0000 0.0000 0.5000  2 Y 2.06
H2 0.0000 0.5000 0.0000  2 Y 2.06
H3 0.5000 0.0000 0.0000  2 Y 2.06


[11]
YTe2H: optimized geometry, GGA-PBE.

Values from the calculation:
**SG**: No. 156
**Density**: 4.55 g cm⁻³
**Distance to the lowest polymorph of the same formula**: 0.096 eV per atom
**E_tot**: -4.7685 eV/atom

Lattice parameters (Å, degrees): 4.5140 4.5140 7.1377 90.00 90.00 120.00
Closest atoms and distances in Å follow each position.
Element x y z (fractional)
Y1 0.0000 0.0000 0.0000  6 Te 3.03-3.14
Te1 0.3333 0.6667 0.7538  1 H 1.68
Te2 0.6667 0.3333 0.2171  3 Y 3.03, 3 H 3.38
H1 0.3333 0.6667 0.5185  1 Te 1.68


[12]
YTe2H: optimized geometry, GGA-PBE.

Values from the calculation:
**SG**: No. 11
**Density**: 5.99 g cm⁻³
**Distance to the lowest polymorph of the same formula**: 0.066 eV per atom
**E_tot**: -4.7979 eV/atom

Lattice parameters (Å, degrees): 5.8362 3.9556 8.4062 90.00 99.66 90.00
Closest atoms and distances in Å follow each position.
Element x y z (fractional)
Y1 0.1050 0.2500 0.3372  3 H 2.20-2.22
Y2 0.8950 0.7500 0.6628  3 H 2.20-2.22
Te1 0.1818 0.2500 0.9176  1 Te 2.90, 2 Y 3.18, 1 H 3.22
Te2 0.4641 0.2500 0.6649  1 Te 2.90, 2 H 3.02-3.13, 3 Y 3.17-3.20
Te3 0.5359 0.7500 0.3351  1 Te 2.90, 2 H 3.02-3.13, 3 Y 3.17-3.20
Te4 0.8182 0.7500 0.0824  1 Te 2.90, 2 Y 3.18, 1 H 3.22
H1 0.0741 0.7500 0.4529  3 Y 2.20-2.22, 2 H 2.35
H2 0.9259 0.2500 0.5471  3 Y 2.20-2.22, 2 H 2.35